# MgTc3Se (PBE, relaxed)
# **Energy relative to the lowest polymorph listed for this composition**: 0 meV per atom
# **Total magnetic moment**: 2.15 μB/f.u.
data_MgTc3Se
_chemical_formula_sum 'Mg1 Tc3 Se1'
_cell_length_a 4.571
_cell_length_b 4.571
_cell_length_c 4.571
_cell_angle_alpha 90.00
_cell_angle_beta 90.00
_cell_angle_gamma 90.00
_symmetry_space_group_name_H-M 'P 1'
_symmetry_Int_Tables_number 1
_symmetry_space_group_name_Hall 'P 1'
loop_
_atom_site_label
_atom_site_fract_x
_atom_site_fract_y
_atom_site_fract_z
Mg1 0.000 0.000 0.000
Tc1 0.000 0.500 0.500
Tc2 0.500 0.000 0.500
Tc3 0.500 0.500 0.000
Se1 0.500 0.500 0.500

---

# MgTcSe2 (PBE, relaxed)
# **Electronic total energy**: -40.55 eV per cell
# **Total magnetic moment**: 0.00 μB/f.u.
data_MgTcSe2
_chemical_formula_sum 'Mg2 Tc2 Se4'
_cell_length_a 8.368
_cell_length_b 3.410
_cell_length_c 5.656
_cell_angle_alpha 90.00
_cell_angle_beta 96.15
_cell_angle_gamma 90.00
_symmetry_space_group_name_H-M 'P 1'
_symmetry_Int_Tables_number 1
_symmetry_space_group_name_Hall 'P 1'
loop_
_atom_site_label
_atom_site_fract_x
_atom_site_fract_y
_atom_site_fract_z
Mg1 0.000 0.000 0.000
Mg2 0.500 0.500 0.000
Tc1 0.108 0.000 0.490
Tc2 0.608 0.500 0.490
Se1 0.197 0.500 0.811
Se2 0.393 0.000 0.385
Se3 0.697 0.000 0.811
Se4 0.893 0.500 0.385

---

# MgTlTc2Se (PBE, relaxed)
# **Electronic total energy**: -23.40 eV per cell
# **Total magnetic moment**: 2.40 μB/f.u.
data_MgTlTc2Se
_chemical_formula_sum 'Mg1 Tl1 Tc2 Se1'
_cell_length_a 4.617
_cell_length_b 4.617
_cell_length_c 5.664
_cell_angle_alpha 90.00
_cell_angle_beta 90.00
_cell_angle_gamma 90.00
_symmetry_space_group_name_H-M 'P 1'
_symmetry_Int_Tables_number 1
_symmetry_space_group_name_Hall 'P 1'
loop_
_atom_site_label
_atom_site_fract_x
_atom_site_fract_y
_atom_site_fract_z
Mg1 0.000 0.000 0.000
Tl1 0.500 0.500 0.000
Tc1 0.000 0.500 0.500
Tc2 0.500 0.000 0.500
Se1 0.500 0.500 0.500

---

> Which of these has the highest total magnetic moment?

MgTlTc2Se

---

> Which of these has the lowest total magnetic moment?

MgTcSe2